Compound: Re2Ag2As
Source: the Alexandria database
Functional: PBE
Structure: optimized geometry

Cell and atoms, written as extended XYZ:
```
5
Lattice="-1.7899 1.7899 6.9797 1.7899 -1.7899 6.9797 1.7899 1.7899 -6.9797" Properties=species:S:1:pos:R:3 pbc="T T T"
Re 0.0000 0.0000 8.1621
Re 0.0000 0.0000 5.7973
Ag 1.7899 0.0000 3.4899
Ag 0.0000 1.7899 3.4899
As 0.0000 0.0000 0.0000
```

**Size of the total moment**: 0.00 μB/f.u.
**Space group**: I4/mmm (139)
**V**: 89.4 Å³ per cell
**Electronic total energy**: -5.970 eV per atom
**Crystal system**: tetragonal

---

Compound: CdFeCo2Pd
Source: the Alexandria database
Functional: PBE
Structure: optimized geometry

Cell and atoms, written as extended XYZ:
```
5
Lattice="4.5793 0.0000 0.0000 0.0000 4.5793 0.0000 0.0000 0.0000 4.9668" Properties=species:S:1:pos:R:3 pbc="T T T"
Co 0.0000 2.2896 0.0000
Co 2.2896 0.0000 0.0000
Fe 2.2896 2.2896 2.4834
Pd 0.0000 0.0000 0.0000
Cd 0.0000 0.0000 2.4834
```

**Size of the total moment**: 7.61 μB/f.u.
**Space group**: P4/mmm (123)
**V**: 104.2 Å³ per cell
**Electronic total energy**: -4.364 eV per atom
**Crystal system**: tetragonal